VASP calculation (PBE) on a relaxed Rb2UGaTe5 crystal.

It has space group Cmc2_1 (No. 36), with a = 4.392 Å, b = 21.702 Å, c = 15.629 Å, α = 90.00°, β = 90.00° and γ = 90.00°. The inequivalent atoms are Rb at (0.000, 0.122, 0.000), Rb at (0.000, 0.130, 0.358), U at (0.000, 0.197, 0.693), Ga at (0.000, 0.431, 0.089), Te at (0.000, 0.054, 0.694), Te at (0.000, 0.308, 0.055), Te at (0.000, 0.308, 0.323), Te at (0.000, 0.328, 0.678) and Te at (0.000, 0.491, 0.948).

The total magnetic moment comes out at 4.8 Bohr magnetons per cell. Its energy is -4.2444 eV per atom.